No. 1
## ReI2O2 (PBE)

Data for an optimized crystal structure of ReI2O2.

Lattice parameters (Å, degrees): 5.435 5.435 3.733 90.00 90.00 90.00
Last column: magnetic moment on the atom in μB.
Sites, in units of the cell vectors:
1 O 0.000 0.000 0.500  0.00
2 O 0.500 0.500 0.500  0.10
3 I 0.500 0.000 0.000  -0.02
4 I 0.000 0.500 0.000  -0.02
5 Re 0.000 0.000 0.000  -0.09

Results
* uncorrected formation energy: 1.8 eV/f.u.
* SG: P4/mmm, No. 123
* density of states at the Fermi level: 5.7 states/eV/f.u.
* crystal system: tetragonal
* energy relative to the lowest polymorph listed for this composition: 475 meV per atom
* volume: 22.05 A^3/atom

No. 2
## Re2I2O7 (PBE)

Data for an optimized crystal structure of Re2I2O7.

Lattice parameters (Å, degrees): 7.229 7.290 7.290 84.20 91.74 91.74
Sites, in units of the cell vectors:
1 Re 0.054 0.831 0.831
2 Re 0.946 0.169 0.169
3 O 0.146 0.261 0.261
4 O 0.182 0.653 0.939
5 O 0.854 0.739 0.739
6 O 0.818 0.061 0.347
7 O 0.182 0.939 0.653
8 O 0.818 0.347 0.061
9 O 0.000 0.000 0.000
10 I 0.500 0.637 0.363
11 I 0.500 0.363 0.637

Results
* uncorrected formation energy: -12.6 eV/f.u.
* SG: C2/m, No. 12
* crystal system: monoclinic
* volume: 34.72 A^3/atom

No. 3
## ReI2O2 (PBE)

Data for an optimized crystal structure of ReI2O2.

Lattice parameters (Å, degrees): 4.906 4.906 3.451 90.00 90.00 90.00
Last column: magnetic moment on the atom in μB.
Sites, in units of the cell vectors:
1 O 0.000 0.000 0.000  -0.01
2 O 0.000 0.000 0.500  0.02
3 Re 0.500 0.500 0.500  0.27
4 I 0.000 0.500 0.000  0.00
5 I 0.500 0.000 0.000  0.00

Results
* uncorrected formation energy: 7.1 eV/f.u.
* SG: P4/mmm, No. 123
* density of states at the Fermi level: 4.9 states/eV/f.u.
* crystal system: tetragonal
* energy relative to the lowest polymorph listed for this composition: 1549 meV per atom
* volume: 16.61 A^3/atom

No. 4
## Re3IO12 (PBE)

Data for an optimized crystal structure of Re3IO12.

Lattice parameters (Å, degrees): 8.823 8.823 12.369 69.10 69.10 60.00
Last column: magnetic moment on the atom in μB.
Sites, in units of the cell vectors:
1 O 0.399 0.455 0.384  0.06
2 O 0.752 0.731 0.089  0.09
3 O 0.427 0.752 0.089  0.09
4 O 0.442 0.087 0.953  0.02
5 O 0.593 0.612 0.595  0.03
6 O 0.200 0.593 0.595  0.03
7 O 0.587 0.942 0.453  0.02
8 O 0.231 0.252 0.589  0.09
9 O 0.731 0.427 0.089  0.09
10 O 0.263 0.955 0.884  0.06
11 O 0.017 0.587 0.453  0.02
12 O 0.763 0.399 0.384  0.06
13 O 0.927 0.231 0.589  0.09
14 O 0.455 0.763 0.384  0.06
15 O 0.087 0.517 0.953  0.02
16 O 0.612 0.200 0.595  0.03
17 O 0.700 0.112 0.095  0.03
18 O 0.517 0.442 0.953  0.02
19 O 0.112 0.093 0.095  0.03
20 O 0.252 0.927 0.589  0.09
21 O 0.093 0.700 0.095  0.03
22 O 0.942 0.017 0.453  0.02
23 O 0.955 0.899 0.884  0.06
24 O 0.899 0.263 0.884  0.06
25 I 0.590 0.590 0.231  0.83
26 I 0.090 0.090 0.731  0.83
27 Re 0.309 0.973 0.006  0.05
28 Re 0.809 0.211 0.506  0.05
29 Re 0.473 0.809 0.506  0.05
30 Re 0.711 0.309 0.006  0.05
31 Re 0.973 0.711 0.006  0.05
32 Re 0.211 0.473 0.506  0.05

Results
* uncorrected formation energy: -18.7 eV/f.u.
* SG: R3c, No. 161
* crystal system: trigonal
* volume: 23.75 A^3/atom

No. 5
## ReIO (PBE)

Data for an optimized crystal structure of ReIO.

Lattice parameters (Å, degrees): 6.174 6.174 6.063 90.00 90.00 120.00
Last column: magnetic moment on the atom in μB.
Sites, in units of the cell vectors:
1 Re 0.678 0.484 0.301  0.08
2 Re 0.806 0.322 0.635  0.08
3 Re 0.516 0.194 0.968  0.08
4 I 0.706 0.985 0.273  0.00
5 I 0.280 0.294 0.607  0.00
6 I 0.015 0.720 0.940  0.00
7 O 0.008 0.594 0.425  0.01
8 O 0.586 0.992 0.759  0.01
9 O 0.406 0.414 0.092  0.01

Results
* uncorrected formation energy: -0.5 eV/f.u.
* SG: P3_2, No. 145
* density of states at the Fermi level: 2.3 states/eV/f.u.
* crystal system: trigonal
* volume: 22.24 A^3/atom

No. 6
## ReIO6 (PBE)

Data for an optimized crystal structure of ReIO6.

Lattice parameters (Å, degrees): 5.442 5.442 4.959 96.25 96.25 125.77
Sites, in units of the cell vectors:
1 O 0.894 0.630 0.761
2 O 0.630 0.894 0.761
3 O 0.760 0.760 0.238
4 O 0.370 0.106 0.239
5 O 0.240 0.240 0.762
6 O 0.106 0.370 0.239
7 I 0.500 0.500 0.500
8 Re 0.000 0.000 0.000

Results
* uncorrected formation energy: -5.8 eV/f.u.
* SG: C2/m, No. 12
* crystal system: monoclinic
* volume: 14.46 A^3/atom

No. 7
## Re2IO (PBE)

Data for an optimized crystal structure of Re2IO.

Lattice parameters (Å, degrees): 4.368 4.368 4.368 60.00 60.00 60.00
Sites, in units of the cell vectors:
1 O 0.000 0.000 0.000
2 Re 0.250 0.250 0.250
3 Re 0.750 0.750 0.750
4 I 0.500 0.500 0.500

Results
* uncorrected formation energy: 5.4 eV/f.u.
* SG: Fm-3m, No. 225
* density of states at the Fermi level: 6.1 states/eV/f.u.
* crystal system: cubic
* energy relative to the lowest polymorph listed for this composition: 770 meV per atom
* volume: 14.73 A^3/atom

No. 8
## ReRhIO2 (PBE)

Data for an optimized crystal structure of ReRhIO2.

Lattice parameters (Å, degrees): 3.783 3.783 6.061 90.00 90.00 90.00
Last column: magnetic moment on the atom in μB.
Sites, in units of the cell vectors:
1 O 0.000 0.500 0.000  0.00
2 O 0.500 0.000 0.000  0.00
3 Re 0.000 0.000 0.000  0.00
4 I 0.000 0.000 0.500  0.00
5 Rh 0.500 0.500 0.500  0.22

Results
* uncorrected formation energy: -1.9 eV/f.u.
* SG: P4/mmm, No. 123
* density of states at the Fermi level: 4.2 states/eV/f.u.
* crystal system: tetragonal
* energy relative to the lowest polymorph listed for this composition: 0 meV per atom
* volume: 17.35 A^3/atom

No. 9
## ReRhIO2 (PBE)

Data for an optimized crystal structure of ReRhIO2.

Lattice parameters (Å, degrees): 3.814 3.814 7.362 90.00 90.00 90.00
Last column: magnetic moment on the atom in μB.
Sites, in units of the cell vectors:
1 Rh 0.000 0.000 0.000  -0.24
2 O 0.500 0.000 0.000  -0.09
3 O 0.000 0.500 0.000  -0.09
4 Re 0.500 0.500 0.500  2.36
5 I 0.000 0.000 0.500  0.05

Results
* uncorrected formation energy: 4.2 eV/f.u.
* SG: P4/mmm, No. 123
* density of states at the Fermi level: 6.2 states/eV/f.u.
* crystal system: tetragonal
* energy relative to the lowest polymorph listed for this composition: 1211 meV per atom
* volume: 21.42 A^3/atom

No. 10
## ReRuIO2 (PBE)

Data for an optimized crystal structure of ReRuIO2.

Lattice parameters (Å, degrees): 3.793 3.793 6.107 90.00 90.00 90.00
Last column: magnetic moment on the atom in μB.
Sites, in units of the cell vectors:
1 Ru 0.500 0.500 0.500  1.16
2 I 0.000 0.000 0.500  0.00
3 Re 0.000 0.000 0.000  -0.07
4 O 0.000 0.500 0.000  0.01
5 O 0.500 0.000 0.000  0.01

Results
* uncorrected formation energy: -0.4 eV/f.u.
* SG: P4/mmm, No. 123
* density of states at the Fermi level: 3.8 states/eV/f.u.
* crystal system: tetragonal
* energy relative to the lowest polymorph listed for this composition: 0 meV per atom
* volume: 17.58 A^3/atom

No. 11
## ReRuIO2 (PBE)

Data for an optimized crystal structure of ReRuIO2.

Lattice parameters (Å, degrees): 3.778 3.778 7.271 90.00 90.00 90.00
Last column: magnetic moment on the atom in μB.
Sites, in units of the cell vectors:
1 I 0.000 0.000 0.500  0.01
2 O 0.500 0.000 0.000  -0.02
3 O 0.000 0.500 0.000  -0.02
4 Re 0.500 0.500 0.500  2.06
5 Ru 0.000 0.000 0.000  -0.12

Results
* uncorrected formation energy: 3.3 eV/f.u.
* SG: P4/mmm, No. 123
* density of states at the Fermi level: 5.8 states/eV/f.u.
* crystal system: tetragonal
* energy relative to the lowest polymorph listed for this composition: 750 meV per atom
* volume: 20.75 A^3/atom

No. 12
## ReSI2O (PBE)

Data for an optimized crystal structure of ReSI2O.

Lattice parameters (Å, degrees): 5.354 5.354 3.430 90.00 90.00 90.00
Last column: magnetic moment on the atom in μB.
Sites, in units of the cell vectors:
1 O 0.000 0.000 0.500  -0.01
2 Re 0.500 0.500 0.500  0.51
3 I 0.500 0.000 0.000  -0.01
4 I 0.000 0.500 0.000  -0.01
5 S 0.000 0.000 0.000  -0.01

Results
* uncorrected formation energy: 6.0 eV/f.u.
* SG: P4/mmm, No. 123
* density of states at the Fermi level: 4.4 states/eV/f.u.
* crystal system: tetragonal
* energy relative to the lowest polymorph listed for this composition: 969 meV per atom
* volume: 19.66 A^3/atom